(1)
! Sr4ZnAu3 | Alexandria | GGA-PBE | optimized geometry; values from VASP
&SYSTEM
  ibrav = 0, nat = 8, ntyp = 3
/
ATOMIC_SPECIES
Sr 87.62 Sr.upf
Zn 65.41 Zn.upf
Au 196.97 Au.upf
CELL_PARAMETERS angstrom
4.411 0.000 0.000
0.000 4.708 0.000
0.000 0.000 11.763
ATOMIC_POSITIONS angstrom
Sr 2.206 2.354 4.285
Sr 0.000 2.354 10.067
Sr 0.000 0.000 1.668
Sr 2.206 0.000 7.516
Zn 2.206 2.354 0.734
Au 0.000 2.354 6.800
Au 0.000 0.000 4.960
Au 2.206 0.000 11.021
! Uncorrected energy: -2.8757 eV per atom
! Magnetization: 0.00 μB/cell
! ΔH_f (0 K): -647 meV per atom

=====

(2)
! Er3Sc6Tl | Alexandria | GGA-PBE | optimized geometry; values from VASP
&SYSTEM
  ibrav = 0, nat = 20, ntyp = 3
/
ATOMIC_SPECIES
Er 167.26 Er.upf
Sc 44.96 Sc.upf
Tl 204.38 Tl.upf
CELL_PARAMETERS angstrom
-4.211 -3.087 -2.186
4.004 -8.547 4.356
-6.917 5.735 5.227
ATOMIC_POSITIONS angstrom
Er -3.328 -5.300 6.860
Er -7.683 -3.902 5.946
Er -2.848 -0.006 4.780
Er -2.581 -4.651 3.497
Er -5.733 -2.019 -0.468
Er -1.378 -3.417 0.445
Sc -1.464 -2.666 6.226
Sc -4.693 -2.740 5.222
Sc -5.964 -0.048 6.467
Sc -3.344 -7.770 4.997
Sc 1.476 -9.259 3.378
Sc -6.672 -0.106 3.588
Sc 0.455 -5.129 4.280
Sc -10.432 2.016 3.068
Sc -4.598 1.271 1.975
Sc -1.979 -6.452 0.505
Sc -0.532 -1.767 3.160
Sc -3.761 -1.841 2.157
Tl -5.150 2.362 4.775
Tl -0.909 -7.480 3.176
! Uncorrected energy: -5.3645 eV per atom
! Magnetization: 0.00 μB/cell
! ΔH_f (0 K): 40 meV per atom

=====

(3)
! Ce3Pt2 | Alexandria | GGA-PBE | optimized geometry; values from VASP
&SYSTEM
  ibrav = 0, nat = 10, ntyp = 2
/
ATOMIC_SPECIES
Ce 140.12 Ce.upf
Pt 195.08 Pt.upf
CELL_PARAMETERS angstrom
7.044 0.000 0.000
3.522 6.100 0.000
3.522 2.033 6.583
ATOMIC_POSITIONS angstrom
Ce 6.075 6.100 4.937
Ce 9.289 3.888 4.937
Ce 5.767 2.211 4.937
Ce 4.799 4.245 1.646
Ce 8.320 5.922 1.646
Ce 8.012 2.033 1.646
Pt 10.565 6.100 3.469
Pt 3.522 2.033 0.178
Pt 3.522 2.033 3.114
Pt 10.565 6.100 6.405
! Uncorrected energy: -6.7057 eV per atom
! Magnetization: 5.59 μB/cell
! ΔH_f (0 K): -729 meV per atom

=====

(4)
! Nd3Sm2Hg | Alexandria | GGA-PBE | optimized geometry; values from VASP
&SYSTEM
  ibrav = 0, nat = 6, ntyp = 3
/
ATOMIC_SPECIES
Nd 144.24 Nd.upf
Sm 150.36 Sm.upf
Hg 200.59 Hg.upf
CELL_PARAMETERS angstrom
3.814 0.000 0.000
0.000 5.394 -1.780
0.000 0.139 9.483
ATOMIC_POSITIONS angstrom
Nd 0.000 3.746 2.290
Nd 0.000 1.786 5.413
Nd 1.907 2.697 -0.890
Sm 1.907 4.730 5.272
Sm 1.907 0.802 2.431
Hg 0.000 0.000 0.000
! Uncorrected energy: -4.1471 eV per atom
! Magnetization: 0.00 μB/cell
! ΔH_f (0 K): -140 meV per atom

=====

(5)
! LaIn3Cu | Alexandria | GGA-PBE | optimized geometry; values from VASP
&SYSTEM
  ibrav = 0, nat = 5, ntyp = 3
/
ATOMIC_SPECIES
In 114.82 In.upf
Cu 63.55 Cu.upf
La 138.91 La.upf
CELL_PARAMETERS angstrom
6.135 0.000 0.000
0.000 6.135 0.000
0.000 0.000 6.135
ATOMIC_POSITIONS angstrom
In 0.000 3.067 0.000
In 0.000 0.000 3.067
In 3.067 0.000 0.000
Cu 3.067 3.067 3.067
La 0.000 0.000 0.000
! Uncorrected energy: -2.3577 eV per atom
! Magnetization: 0.00 μB/cell
! ΔH_f (0 K): 1090 meV per atom

=====

(6)
! HfSi4Tc2 | Alexandria | GGA-PBE | optimized geometry; values from VASP
&SYSTEM
  ibrav = 0, nat = 7, ntyp = 3
/
ATOMIC_SPECIES
Si 28.09 Si.upf
Hf 178.49 Hf.upf
Tc 98.00 Tc.upf
CELL_PARAMETERS angstrom
4.750 0.000 0.000
0.000 4.750 0.000
2.375 2.375 6.233
ATOMIC_POSITIONS angstrom
Si 2.375 2.375 3.591
Si 4.750 4.750 2.642
Si 0.000 2.375 0.000
Si 2.375 0.000 0.000
Hf 0.000 0.000 0.000
Tc 2.375 2.375 1.239
Tc 4.750 4.750 4.994
! Uncorrected energy: -6.7155 eV per atom
! Magnetization: 1.57 μB/cell
! Formation energy from raw total energies: 0.77 eV/atom

=====

(7)
! CaHg2Se2 | Alexandria | GGA-PBE | optimized geometry; values from VASP
&SYSTEM
  ibrav = 0, nat = 5, ntyp = 3
/
ATOMIC_SPECIES
Ca 40.08 Ca.upf
Hg 200.59 Hg.upf
Se 78.96 Se.upf
CELL_PARAMETERS angstrom
-0.935 -4.448 2.928
-2.524 -2.247 -4.220
2.294 -5.146 -2.094
ATOMIC_POSITIONS angstrom
Ca 0.000 0.000 0.000
Hg -0.566 -3.868 -1.065
Hg -0.599 -7.973 -2.321
Se -0.185 -6.471 0.094
Se -0.980 -5.370 -3.480
! Uncorrected energy: -2.3875 eV per atom
! Magnetization: 0.00 μB/cell
! Formation energy from raw total energies: -0.47 eV/atom

=====

(8)
! TlZn2Ge | Alexandria | GGA-PBE | optimized geometry; values from VASP
&SYSTEM
  ibrav = 0, nat = 4, ntyp = 3
/
ATOMIC_SPECIES
Zn 65.41 Zn.upf
Tl 204.38 Tl.upf
Ge 72.64 Ge.upf
CELL_PARAMETERS angstrom
3.384 -3.408 0.919
-0.486 -2.947 3.871
-1.056 -4.730 -0.646
ATOMIC_POSITIONS angstrom
Zn 0.460 -2.771 1.036
Zn 1.381 -8.314 3.108
Tl 0.920 -5.543 2.072
Ge 0.000 0.000 0.000
! Uncorrected energy: -2.1191 eV per atom
! Magnetization: 0.00 μB/cell
! ΔH_f (0 K): 264 meV per atom

=====

(9)
! Pr3TlPd12 | Alexandria | GGA-PBE | optimized geometry; values from VASP
&SYSTEM
  ibrav = 0, nat = 16, ntyp = 3
/
ATOMIC_SPECIES
Pr 140.91 Pr.upf
Tl 204.38 Tl.upf
Pd 106.42 Pd.upf
CELL_PARAMETERS angstrom
4.207 0.000 0.000
0.000 4.207 0.000
0.000 0.000 16.630
ATOMIC_POSITIONS angstrom
Pr 0.000 0.000 4.068
Pr 0.000 0.000 8.315
Pr 0.000 0.000 12.561
Tl 0.000 0.000 0.000
Pd 2.103 2.103 0.000
Pd 2.103 2.103 4.082
Pd 2.103 2.103 8.315
Pd 2.103 2.103 12.548
Pd 2.103 0.000 1.966
Pd 2.103 0.000 6.202
Pd 2.103 0.000 10.428
Pd 2.103 0.000 14.664
Pd 0.000 2.103 1.966
Pd 0.000 2.103 6.202
Pd 0.000 2.103 10.428
Pd 0.000 2.103 14.664
! Uncorrected energy: -5.5433 eV per atom
! Magnetization: 0.00 μB/cell
! ΔH_f (0 K): -605 meV per atom

=====

(10)
! Hf6InSe | Alexandria | GGA-PBE | optimized geometry; values from VASP
&SYSTEM
  ibrav = 0, nat = 8, ntyp = 3
/
ATOMIC_SPECIES
Hf 178.49 Hf.upf
In 114.82 In.upf
Se 78.96 Se.upf
CELL_PARAMETERS angstrom
-5.896 4.686 -1.593
-3.511 -0.262 -6.926
-5.202 -0.811 -1.675
ATOMIC_POSITIONS angstrom
Hf -11.550 3.903 -6.335
Hf -11.837 2.630 -9.307
Hf -5.109 2.072 -2.949
Hf -2.772 0.984 -0.888
Hf -3.059 -0.289 -3.859
Hf -9.500 1.542 -7.246
In -7.305 1.807 -5.097
Se 0.000 0.000 0.000
! Uncorrected energy: -8.3533 eV per atom
! Magnetization: 0.00 μB/cell
! Formation energy from raw total energies: -0.11 eV/atom

=====

(11)
! Nd4SmDy3 | Alexandria | GGA-PBE | optimized geometry; values from VASP
&SYSTEM
  ibrav = 0, nat = 16, ntyp = 3
/
ATOMIC_SPECIES
Nd 144.24 Nd.upf
Sm 150.36 Sm.upf
Dy 162.50 Dy.upf
CELL_PARAMETERS angstrom
7.239 0.000 0.000
0.000 7.237 0.000
0.000 0.000 10.260
ATOMIC_POSITIONS angstrom
Nd 7.239 5.867 0.000
Nd 3.620 2.247 0.000
Nd 5.436 0.439 7.693
Nd 1.802 4.057 7.697
Nd 3.619 5.865 5.130
Nd 0.000 2.249 5.130
Nd 1.802 4.057 2.563
Nd 5.436 0.439 2.567
Sm 3.620 5.867 0.000
Sm 3.618 2.249 5.130
Dy 7.239 2.247 0.000
Dy 1.801 0.439 7.694
Dy 5.438 4.057 7.695
Dy 0.000 5.866 5.130
Dy 5.438 4.057 2.564
Dy 1.801 0.439 2.566
! Uncorrected energy: -4.6828 eV per atom
! Magnetization: 0.00 μB/cell
! ΔH_f (0 K): 17 meV per atom

=====

(12)
! NbCSe2N | Alexandria | GGA-PBE | optimized geometry; values from VASP
&SYSTEM
  ibrav = 0, nat = 5, ntyp = 4
/
ATOMIC_SPECIES
Nb 92.91 Nb.upf
C 12.01 C.upf
Se 78.96 Se.upf
N 14.01 N.upf
CELL_PARAMETERS angstrom
5.128 0.000 0.000
0.000 5.128 0.000
0.000 0.000 3.861
ATOMIC_POSITIONS angstrom
Nb 0.000 0.000 0.000
C 2.564 2.564 1.930
Se 0.000 2.564 0.000
Se 2.564 0.000 0.000
N 0.000 0.000 1.930
! Uncorrected energy: -5.4725 eV per atom
! Magnetization: 0.00 μB/cell
! Formation energy from raw total energies: 1.45 eV/atom

=====

Let's list D(E_F) in order: 0.572, 1.498, 3.724, 1.386, 1.488, 1.043, 0.414, 0.595, 0.668, 1.046, 1.512, 0.898 states/eV/atom.